[1]
! SmTm3Zn2 PBE relaxed; values from VASP
! ΔH_f (0 K)   -1.4 eV per formula unit
&SYSTEM
  ibrav = 0, nat = 6, ntyp = 3
/
ATOMIC_SPECIES
Sm 150.36 Sm.upf
Tm 168.93 Tm.upf
Zn 65.41 Zn.upf
ATOMIC_POSITIONS angstrom
Sm 0.000 0.000 0.000
Tm 1.763 1.763 2.586
Tm 1.763 1.763 6.075
Tm 1.763 1.763 9.565
Zn 0.000 0.000 4.344
Zn 0.000 0.000 7.806
CELL_PARAMETERS angstrom
3.527 0.000 0.000
0.000 3.527 0.000
0.000 0.000 12.151

***

[2]
! Sm3Tm2Zn3 PBE relaxed; values from VASP
! ΔH_f (0 K)   -1.9 eV per formula unit
&SYSTEM
  ibrav = 0, nat = 8, ntyp = 3
/
ATOMIC_SPECIES
Sm 150.36 Sm.upf
Tm 168.93 Tm.upf
Zn 65.41 Zn.upf
ATOMIC_POSITIONS angstrom
Sm 0.000 0.000 0.000
Sm 1.813 0.000 8.174
Sm 0.000 2.627 2.578
Tm 0.000 0.000 4.948
Tm 0.000 0.000 16.556
Zn 1.813 0.000 2.560
Zn 0.000 0.000 10.752
Zn 0.000 2.627 8.192
CELL_PARAMETERS angstrom
-1.813 2.627 10.752
1.813 -2.627 10.752
1.813 2.627 -10.752

***

[3]
! Sm2Tm6Zn PBE relaxed; values from VASP
! ΔH_f (0 K)   0.4 eV per formula unit
&SYSTEM
  ibrav = 0, nat = 18, ntyp = 3
/
ATOMIC_SPECIES
Sm 150.36 Sm.upf
Tm 168.93 Tm.upf
Zn 65.41 Zn.upf
ATOMIC_POSITIONS angstrom
Sm 0.003 1.852 2.470
Sm -2.663 2.979 7.523
Sm 2.669 6.683 2.583
Sm 0.004 7.811 7.636
Tm -2.666 6.130 6.110
Tm -0.001 8.364 1.057
Tm 0.002 5.012 1.856
Tm -2.664 9.481 6.909
Tm -2.665 6.632 9.403
Tm 0.001 7.862 4.350
Tm 0.006 1.800 5.756
Tm 2.672 3.031 0.703
Tm 2.671 0.181 3.197
Tm 0.005 4.650 8.250
Tm 0.008 1.298 9.049
Tm 2.673 3.533 3.996
Zn 2.669 0.000 0.000
Zn 0.003 4.831 5.053
CELL_PARAMETERS angstrom
5.338 0.000 0.000
0.000 9.663 0.000
-5.331 0.000 10.106

***

[4]
! Sm3TmZn PBE relaxed; values from VASP
! ΔH_f (0 K)   0.3 eV per formula unit
&SYSTEM
  ibrav = 0, nat = 10, ntyp = 3
/
ATOMIC_SPECIES
Sm 150.36 Sm.upf
Tm 168.93 Tm.upf
Zn 65.41 Zn.upf
ATOMIC_POSITIONS angstrom
Sm -1.018 0.000 1.930
Sm 2.086 1.702 1.537
Sm 2.086 -1.702 1.537
Sm 4.728 1.702 4.489
Sm 4.728 -1.702 4.489
Sm 7.832 0.000 4.096
Tm 1.406 0.000 4.419
Tm 5.408 0.000 1.607
Zn -1.413 0.000 5.400
Zn 8.227 0.000 0.626
CELL_PARAMETERS angstrom
5.941 -4.409 0.000
5.941 4.409 0.000
-5.068 0.000 6.026

***

[5]
! Sm6TmZn PBE relaxed; values from VASP
! ΔH_f (0 K)   0.3 eV per formula unit
&SYSTEM
  ibrav = 0, nat = 8, ntyp = 3
/
ATOMIC_SPECIES
Sm 150.36 Sm.upf
Tm 168.93 Tm.upf
Zn 65.41 Zn.upf
ATOMIC_POSITIONS angstrom
Sm 0.075 1.611 0.464
Sm 0.663 5.539 2.865
Sm 1.972 2.381 4.629
Sm 3.148 3.260 1.651
Sm 4.458 0.102 3.415
Sm 5.046 4.030 5.815
Tm 3.171 0.000 0.000
Zn -0.611 2.821 3.140
CELL_PARAMETERS angstrom
6.343 0.000 0.000
-0.605 6.316 0.000
-0.617 -0.675 6.279

***

[6]
! SmTm3Zn4 PBE relaxed; values from VASP
! ΔH_f (0 K)   -2.7 eV per formula unit
&SYSTEM
  ibrav = 0, nat = 8, ntyp = 3
/
ATOMIC_SPECIES
Sm 150.36 Sm.upf
Tm 168.93 Tm.upf
Zn 65.41 Zn.upf
ATOMIC_POSITIONS angstrom
Sm 0.000 0.000 0.000
Tm 0.000 0.000 3.581
Tm 2.501 2.501 0.000
Tm 2.501 2.501 3.581
Zn 0.000 2.501 1.854
Zn 0.000 2.501 5.308
Zn 2.501 0.000 1.854
Zn 2.501 0.000 5.308
CELL_PARAMETERS angstrom
5.003 0.000 0.000
0.000 5.003 0.000
0.000 0.000 7.163

***

[7]
! Sm4TmZn PBE relaxed; values from VASP
! Distance to the lowest polymorph of the same formula   0.0000 eV per atom
! ΔH_f (0 K)   -0.6 eV per formula unit
&SYSTEM
  ibrav = 0, nat = 6, ntyp = 3
/
ATOMIC_SPECIES
Sm 150.36 Sm.upf
Tm 168.93 Tm.upf
Zn 65.41 Zn.upf
ATOMIC_POSITIONS angstrom
Sm 0.000 0.000 1.825
Sm 0.000 0.000 11.974
Sm 1.806 1.806 4.421
Sm 1.806 1.806 9.378
Tm 0.000 0.000 6.899
Zn 1.806 1.806 0.000
CELL_PARAMETERS angstrom
3.612 0.000 0.000
0.000 3.612 0.000
0.000 0.000 13.799

***

[8]
! SmTmZn10 PBE relaxed; values from VASP
! ΔH_f (0 K)   -3.3 eV per formula unit
&SYSTEM
  ibrav = 0, nat = 12, ntyp = 3
/
ATOMIC_SPECIES
Sm 150.36 Sm.upf
Tm 168.93 Tm.upf
Zn 65.41 Zn.upf
ATOMIC_POSITIONS angstrom
Sm 0.000 0.000 0.000
Tm 0.000 2.662 4.593
Zn 0.000 0.000 3.107
Zn 0.000 0.000 6.080
Zn 0.000 2.662 1.571
Zn 0.000 2.662 7.616
Zn 2.109 0.000 4.593
Zn 2.109 1.338 2.319
Zn 2.109 1.338 6.868
Zn 2.109 2.662 0.000
Zn 2.109 3.987 2.319
Zn 2.109 3.987 6.868
CELL_PARAMETERS angstrom
4.219 0.000 0.000
0.000 5.325 0.000
0.000 0.000 9.187

***

[9]
! Sm3Tm4Zn4 PBE relaxed; values from VASP
! ΔH_f (0 K)   -1.6 eV per formula unit
&SYSTEM
  ibrav = 0, nat = 11, ntyp = 3
/
ATOMIC_SPECIES
Sm 150.36 Sm.upf
Tm 168.93 Tm.upf
Zn 65.41 Zn.upf
ATOMIC_POSITIONS angstrom
Sm 0.000 0.000 0.000
Sm 2.518 0.000 6.329
Sm 0.000 3.548 1.678
Tm 2.518 1.622 -2.851
Tm 2.518 1.622 2.851
Tm 0.000 1.927 5.155
Tm 0.000 1.927 10.858
Zn 0.000 0.000 3.045
Zn 2.518 2.246 0.000
Zn 0.000 1.302 8.007
Zn 0.000 0.000 12.968
CELL_PARAMETERS angstrom
-2.518 3.548 8.007
2.518 -3.548 8.007
2.518 3.548 -8.007

***

[10]
! SmTmZn4 PBE relaxed; values from VASP
! Distance to the lowest polymorph of the same formula   0.0000 eV per atom
! ΔH_f (0 K)   -2.2 eV per formula unit
&SYSTEM
  ibrav = 0, nat = 6, ntyp = 3
/
ATOMIC_SPECIES
Sm 150.36 Sm.upf
Tm 168.93 Tm.upf
Zn 65.41 Zn.upf
ATOMIC_POSITIONS angstrom
Sm 0.000 0.000 0.000
Tm -0.028 0.000 3.529
Zn 2.225 1.297 1.884
Zn 2.200 1.297 5.174
Zn 2.225 -1.297 1.884
Zn 2.200 -1.297 5.174
CELL_PARAMETERS angstrom
2.241 -3.885 0.000
2.241 3.885 0.000
-0.057 0.000 7.059

***

[11]
! Sm2TmZn3 PBE relaxed; values from VASP
! ΔH_f (0 K)   -1.9 eV per formula unit
&SYSTEM
  ibrav = 0, nat = 6, ntyp = 3
/
ATOMIC_SPECIES
Sm 150.36 Sm.upf
Tm 168.93 Tm.upf
Zn 65.41 Zn.upf
ATOMIC_POSITIONS angstrom
Sm 0.000 2.939 1.098
Sm 2.545 1.469 5.148
Tm 0.000 0.000 3.123
Zn 0.000 0.000 0.000
Zn 0.000 2.939 4.160
Zn 2.545 1.469 2.086
CELL_PARAMETERS angstrom
5.090 0.000 0.000
-2.545 4.408 0.000
0.000 0.000 6.246

***

[12]
! SmTm2Zn4 PBE relaxed; values from VASP
! ΔH_f (0 K)   -1.1 eV per formula unit
&SYSTEM
  ibrav = 0, nat = 7, ntyp = 3
/
ATOMIC_SPECIES
Sm 150.36 Sm.upf
Tm 168.93 Tm.upf
Zn 65.41 Zn.upf
ATOMIC_POSITIONS angstrom
Sm 0.000 0.000 0.000
Tm 3.529 0.000 0.000
Tm 0.000 3.529 0.000
Zn 1.765 1.765 -1.724
Zn 1.765 -1.765 1.724
Zn -1.765 1.765 1.724
Zn 1.765 1.765 1.724
CELL_PARAMETERS angstrom
-3.529 3.529 3.448
3.529 -3.529 3.448
3.529 3.529 -3.448

***

[13]
! Sm3Tm12Zr PBE relaxed; values from VASP
! ΔH_f (0 K)   0.6 eV per formula unit
&SYSTEM
  ibrav = 0, nat = 16, ntyp = 3
/
ATOMIC_SPECIES
Sm 150.36 Sm.upf
Tm 168.93 Tm.upf
Zr 91.22 Zr.upf
ATOMIC_POSITIONS angstrom
Sm 0.000 0.000 0.000
Sm 0.000 0.000 4.989
Sm 0.000 0.000 14.786
Tm 0.000 2.468 2.517
Tm 0.000 2.468 7.585
Tm 0.000 2.468 12.190
Tm 0.000 2.468 17.258
Tm 2.468 0.000 2.517
Tm 2.468 0.000 7.585
Tm 2.468 0.000 12.190
Tm 2.468 0.000 17.258
Tm 2.468 2.468 0.000
Tm 2.468 2.468 5.023
Tm 2.468 2.468 9.888
Tm 2.468 2.468 14.752
Zr 0.000 0.000 9.888
CELL_PARAMETERS angstrom
4.936 0.000 0.000
0.000 4.936 0.000
0.000 0.000 19.776

***

[14]
! SmTm2Zr PBE relaxed; values from VASP
! Distance to the lowest polymorph of the same formula   0.0000 eV per atom
! ΔH_f (0 K)   0.3 eV per formula unit
&SYSTEM
  ibrav = 0, nat = 4, ntyp = 3
/
ATOMIC_SPECIES
Sm 150.36 Sm.upf
Tm 168.93 Tm.upf
Zr 91.22 Zr.upf
ATOMIC_POSITIONS angstrom
Sm 0.000 0.000 0.000
Tm 0.000 0.000 19.333
Tm 0.000 0.000 25.296
Zr 0.000 0.000 5.560
CELL_PARAMETERS angstrom
1.726 0.996 11.167
-1.726 0.996 11.167
0.000 -1.993 11.167

***

[15]
! SmTm2Zr PBE relaxed; values from VASP
! Distance to the lowest polymorph of the same formula   0.0226 eV per atom
! ΔH_f (0 K)   0.4 eV per formula unit
&SYSTEM
  ibrav = 0, nat = 4, ntyp = 3
/
ATOMIC_SPECIES
Sm 150.36 Sm.upf
Tm 168.93 Tm.upf
Zr 91.22 Zr.upf
ATOMIC_POSITIONS angstrom
Sm 0.000 0.000 0.000
Tm 0.000 2.426 2.425
Tm 2.426 0.000 2.425
Zr 2.426 2.426 0.000
CELL_PARAMETERS angstrom
4.852 0.000 0.000
0.000 4.852 0.000
0.000 0.000 4.850

***

[16]
! SmTm14Zr PBE relaxed; values from VASP
! ΔH_f (0 K)   0.6 eV per formula unit
&SYSTEM
  ibrav = 0, nat = 16, ntyp = 3
/
ATOMIC_SPECIES
Sm 150.36 Sm.upf
Tm 168.93 Tm.upf
Zr 91.22 Zr.upf
ATOMIC_POSITIONS angstrom
Sm 0.000 0.000 0.000
Tm 0.000 0.000 4.891
Tm 0.000 3.479 0.000
Tm 0.000 3.479 4.891
Tm 1.775 1.775 2.405
Tm 1.775 1.775 7.377
Tm 1.775 5.183 2.405
Tm 1.775 5.183 7.377
Tm 3.479 0.000 0.000
Tm 3.479 0.000 4.891
Tm 3.479 3.479 4.891
Tm 5.183 1.775 2.405
Tm 5.183 1.775 7.377
Tm 5.183 5.183 2.405
Tm 5.183 5.183 7.377
Zr 3.479 3.479 0.000
CELL_PARAMETERS angstrom
6.958 0.000 0.000
0.000 6.958 0.000
0.000 0.000 9.782

***

[17]
! Sm2Tm12Zr PBE relaxed; values from VASP
! ΔH_f (0 K)   2.0 eV per formula unit
&SYSTEM
  ibrav = 0, nat = 15, ntyp = 3
/
ATOMIC_SPECIES
Sm 150.36 Sm.upf
Tm 168.93 Tm.upf
Zr 91.22 Zr.upf
ATOMIC_POSITIONS angstrom
Sm -0.004 0.000 6.526
Sm 1.755 0.000 17.137
Tm 0.004 2.752 1.485
Tm 0.000 0.000 3.004
Tm 0.002 2.752 10.514
Tm 0.004 0.000 13.587
Tm 0.009 2.752 15.894
Tm 0.005 2.752 19.187
Tm 1.746 2.752 4.477
Tm 1.743 2.752 7.770
Tm 1.747 0.000 10.076
Tm 1.749 2.752 13.150
Tm 1.751 0.000 20.660
Tm 1.747 2.752 22.179
Zr 1.745 0.000 0.000
CELL_PARAMETERS angstrom
3.489 0.000 0.000
0.000 5.504 0.000
-1.738 0.000 23.663

***

[18]
! SmTmZr PBE relaxed; values from VASP
! Distance to the lowest polymorph of the same formula   0.0371 eV per atom
! ΔH_f (0 K)   0.4 eV per formula unit
&SYSTEM
  ibrav = 0, nat = 6, ntyp = 3
/
ATOMIC_SPECIES
Sm 150.36 Sm.upf
Tm 168.93 Tm.upf
Zr 91.22 Zr.upf
ATOMIC_POSITIONS angstrom
Sm 0.011 1.221 1.025
Sm 1.700 3.664 9.281
Tm 0.019 1.221 7.537
Tm 1.693 3.664 2.769
Zr 0.012 1.221 4.397
Zr 1.700 3.664 5.909
CELL_PARAMETERS angstrom
3.369 0.000 0.000
0.000 4.885 0.000
-1.657 0.000 10.306

***

[19]
! Sm2Tm6Zr PBE relaxed; values from VASP
! Distance to the lowest polymorph of the same formula   0.0000 eV per atom
! ΔH_f (0 K)   1.0 eV per formula unit
&SYSTEM
  ibrav = 0, nat = 9, ntyp = 3
/
ATOMIC_SPECIES
Sm 150.36 Sm.upf
Tm 168.93 Tm.upf
Zr 91.22 Zr.upf
ATOMIC_POSITIONS angstrom
Sm 2.745 0.000 3.385
Sm 13.772 0.000 0.000
Tm 5.571 1.551 1.691
Tm 8.258 3.102 1.693
Tm 5.571 -1.551 1.691
Tm 10.945 1.551 1.694
Tm 8.258 -3.102 1.693
Tm 10.945 -1.551 1.694
Zr 8.264 0.000 0.000
CELL_PARAMETERS angstrom
8.264 -4.769 0.000
8.264 4.769 0.000
-0.010 0.000 3.386

***

[20]
! SmTmZr PBE relaxed; values from VASP
! Distance to the lowest polymorph of the same formula   0.0093 eV per atom
! ΔH_f (0 K)   0.3 eV per formula unit
&SYSTEM
  ibrav = 0, nat = 3, ntyp = 3
/
ATOMIC_SPECIES
Sm 150.36 Sm.upf
Tm 168.93 Tm.upf
Zr 91.22 Zr.upf
ATOMIC_POSITIONS angstrom
Sm 0.000 0.000 0.000
Tm 0.000 1.973 5.314
Zr 1.709 0.987 2.696
CELL_PARAMETERS angstrom
3.417 0.000 0.000
-1.709 2.960 0.000
0.000 0.000 8.419